Li2TeO | Alexandria via LeMat-Bulk | PBE | optimized geometry; uncorrected formation energy = -0.993 eV/atom; ΔE to the lowest computed polymorph = 0.0 kJ/mol of atoms
1.0
-2.8993 2.8993 4.0909
2.8993 -2.8993 4.0909
2.8993 2.8993 -4.0909
Li Te O
4 2 2
Cartesian
-0.1767 1.4496 1.0227
1.4496 2.7226 3.0682
0.1767 4.3489 1.0227
-1.4496 3.0759 3.0682
2.8993 0.0000 2.0454
0.0000 0.0000 4.0909
0.0000 0.0000 0.0000
0.0000 2.8993 2.0454